[1]
Computed, not measured: an optimized crystal structure of RbTh2TaO8 at the PBE level of DFT.

Geometry as extended XYZ:
```
12
Lattice="4.845 0.000 0.000 -0.129 4.854 0.000 -0.410 -0.430 8.263" Properties=species:S:1:pos:R:3 pbc="T T T"
Rb 0.000 0.000 0.000
Th 1.853 1.907 5.902
Th 2.453 2.517 2.361
Ta -0.205 -0.215 4.131
O 0.439 3.521 2.632
O 0.789 3.886 5.635
O 1.185 1.202 3.873
O 1.848 1.881 0.034
O 2.458 2.543 8.228
O 3.121 3.222 4.389
O 3.517 0.538 2.628
O 3.867 0.903 5.631
```

Results
- Raw formation energy: -2.81 eV/atom


[2]
Computed, not measured: an optimized crystal structure of Rb2Ta2TlO7 at the PBE level of DFT.

Geometry as extended XYZ:
```
12
Lattice="-2.009 2.009 11.636 2.009 -2.009 11.636 2.009 2.009 -11.636" Properties=species:S:1:pos:R:3 pbc="T T T"
Rb 0.000 0.000 4.480
Rb 0.000 0.000 18.792
Ta 0.000 0.000 9.425
Ta 0.000 0.000 13.847
Tl 0.000 0.000 0.000
O 2.009 0.000 2.054
O 0.000 0.000 7.559
O 2.009 0.000 9.582
O 0.000 0.000 11.636
O 0.000 2.009 2.054
O 0.000 0.000 15.713
O 0.000 2.009 9.582
```

Results
- Raw formation energy: -2.20 eV/atom


[3]
Computed, not measured: an optimized crystal structure of RbTa2Tl2O7 at the PBE level of DFT.

Geometry as extended XYZ:
```
12
Lattice="2.885 -2.844 0.000 2.885 2.844 0.000 -1.736 0.000 11.006" Properties=species:S:1:pos:R:3 pbc="T T T"
Rb 0.000 0.000 0.000
Ta 1.037 0.000 8.957
Ta 2.998 0.000 2.048
Tl 0.373 0.000 4.361
Tl 3.662 0.000 6.644
O 1.411 1.420 2.064
O 1.257 0.000 6.966
O 2.624 1.420 8.941
O 2.885 0.000 0.000
O 1.411 -1.420 2.064
O 2.778 0.000 4.040
O 2.624 -1.420 8.941
```

Results
- Raw formation energy: -2.04 eV/atom


[4]
Computed, not measured: an optimized crystal structure of Rb2TaTlO4 at the PBE level of DFT.

Geometry as extended XYZ:
```
8
Lattice="-3.446 3.446 3.920 3.446 -3.446 3.920 3.446 3.446 -3.920" Properties=species:S:1:pos:R:3 pbc="T T T"
Rb 0.000 0.000 0.000
Rb 0.000 3.446 1.960
Ta 3.446 0.000 1.960
Tl 0.000 0.000 3.920
O 2.321 -1.047 3.041
O 2.400 1.125 0.880
O 1.125 4.493 -0.880
O 1.047 2.321 4.800
```

Results
- Raw formation energy: -2.00 eV/atom


[5]
Computed, not measured: an optimized crystal structure of RbTaTl2O4 at the PBE level of DFT.

Geometry as extended XYZ:
```
8
Lattice="-3.417 3.417 3.870 3.417 -3.417 3.870 3.417 3.417 -3.870" Properties=species:S:1:pos:R:3 pbc="T T T"
Rb 0.000 0.000 0.000
Ta 0.000 0.000 3.870
Tl 3.417 0.000 1.935
Tl 0.000 3.417 1.935
O 2.330 2.330 -1.080
O 1.087 -1.087 4.950
O 1.087 1.087 2.791
O -1.087 1.087 4.950
```

Results
- Raw formation energy: -1.81 eV/atom


[6]
Computed, not measured: an optimized crystal structure of Rb2TmTaO6 at the PBE level of DFT.

Geometry as extended XYZ:
```
10
Lattice="0.000 4.270 4.270 4.270 0.000 4.270 4.270 4.270 0.000" Properties=species:S:1:pos:R:3 pbc="T T T"
Rb 2.135 2.135 2.135
Rb 6.406 6.406 6.406
Tm 0.000 0.000 0.000
Ta 4.270 4.270 4.270
O 4.270 4.270 2.261
O 4.270 2.261 4.270
O 6.279 4.270 4.270
O 2.261 4.270 4.270
O 4.270 6.279 4.270
O 4.270 4.270 6.279
```

Results
- Raw formation energy: -2.33 eV/atom


[7]
Computed, not measured: an optimized crystal structure of Rb3Tm3TaO8 at the PBE level of DFT.

Geometry as extended XYZ:
```
15
Lattice="3.382 1.953 6.584 -3.382 1.953 6.584 0.000 -3.906 6.584" Properties=species:S:1:pos:R:3 pbc="T T T"
Rb -1.691 -0.976 6.584
Rb -1.691 0.976 13.168
Rb 0.000 1.953 6.584
Tm -3.382 0.000 9.876
Tm -1.691 0.976 3.292
Tm 1.691 0.976 3.292
Ta 0.000 0.000 9.876
O 0.000 0.000 4.419
O -1.584 -0.915 10.913
O 0.000 -1.829 8.839
O -1.584 0.915 8.839
O 1.584 -0.915 10.913
O 0.000 1.829 10.913
O 1.584 0.915 8.839
O 0.000 0.000 15.333
```

Results
- Raw formation energy: -2.73 eV/atom


[8]
Computed, not measured: an optimized crystal structure of RbUTaO6 at the PBE level of DFT.

Geometry as extended XYZ:
```
18
Lattice="-3.753 3.948 5.408 3.753 -3.948 5.408 3.753 3.948 -5.408" Properties=species:S:1:pos:R:3 pbc="T T T"
Rb 0.000 1.974 1.166
Rb 3.753 1.974 4.242
U 3.753 0.000 0.000
U 0.000 0.000 5.408
Ta 1.877 1.974 -2.704
Ta 1.877 -1.974 2.704
O 3.753 -1.974 3.303
O 2.286 -0.542 1.354
O 5.220 -0.542 1.354
O 2.286 3.406 -1.354
O 1.467 -0.542 4.054
O 3.753 1.974 0.795
O 0.000 1.974 4.613
O 2.286 4.490 1.354
O 1.467 0.542 6.762
O -1.467 4.490 4.054
O 1.467 4.490 4.054
O 0.000 5.922 2.105
```

Results
- Raw formation energy: -2.86 eV/atom


> What is the formula in the seventh record?

Rb3Tm3TaO8


> raw formation energy of number 2 (Rb2Ta2TlO7)?

-2.20 eV/atom